BaTi2Bi (PBE, relaxed); crystal system = tetragonal; N(E_F) = 5.761 states/eV/f.u.; energy relative to the elements = 319 meV per atom; total magnetization = 0.00 μB per formula unit; space-group type = I4_1/amd; electronic total energy = -5.0793 eV/atom
1.0
-2.493 2.493 10.437
2.493 -2.493 10.437
2.493 2.493 -10.437
Ba Ti Bi
2 4 2
Direct
0.375 0.625 0.750 Ba
0.625 0.375 0.250 Ba
0.000 0.000 0.000 Ti
0.000 0.000 0.500 Ti
0.000 0.500 0.000 Ti
0.500 0.000 0.500 Ti
0.125 0.875 0.250 Bi
0.875 0.125 0.750 Bi